VASP calculation (GGA-PBE) on a relaxed Na2LiF3 crystal.

abc: 6.948 3.177 12.753
angles: 90.00 90.00 90.00
Space group Pnma (No. 62)
Symmetry-distinct sites (fractional):
Na  0.117  0.250  0.222 x4
Na  0.185  0.250  0.940 x4
Li  0.088  0.250  0.608 x4
F  0.063  0.250  0.406 x4
F  0.136  0.250  0.759 x4
F  0.149  0.750  0.071 x4

Calculated values
Total moment ... 0.05 μB/cell
Total DFT energy (no corrections) ... -4.46 eV per atom
Energy relative to the elements, uncorrected ... -266.4 kJ/mol of atoms